# 1
A relaxed structure of ErTh2GaN5, computed with PBE.

Results
Magnetization (Bohr magnetons per cell): 0.2
E_form (uncorrected) (meV/atom): -1127

Geometry as CIF:
```
data_ErTh2GaN5
_cell_length_a 3.4763
_cell_length_b 13.9960
_cell_length_c 10.4793
_cell_angle_alpha 90.00
_cell_angle_beta 90.00
_cell_angle_gamma 90.00
_symmetry_space_group_name_H-M 'C m c 21'
_symmetry_Int_Tables_number 36
_symmetry_space_group_name_Hall 'C 2c -2'
loop_
_atom_site_label
_atom_site_fract_x
_atom_site_fract_y
_atom_site_fract_z
Er1 0.0000 0.2033 0.0000
Th1 0.0000 0.1218 0.6943
Th2 0.0000 0.1306 0.2935
Ga1 0.0000 0.4929 0.4868
N1 0.0000 0.0424 0.0656
N2 0.0000 0.2962 0.6616
N3 0.0000 0.3044 0.3458
N4 0.0000 0.3636 0.0175
N5 0.0000 0.4992 0.7961
```



# 2
A relaxed structure of ZnCdAs, computed with PBE.

Results
Relative energy among the computed polymorphs (meV per atom): 0.0
DFT formation energy (eV per atom): -0.06
Magnetization (Bohr magnetons per cell): 0.0

Geometry as CIF:
```
data_ZnCdAs
_cell_length_a 7.0974
_cell_length_b 4.0976
_cell_length_c 9.3237
_cell_angle_alpha 90.00
_cell_angle_beta 104.39
_cell_angle_gamma 90.00
_symmetry_space_group_name_H-M 'C 1 2/m 1'
_symmetry_Int_Tables_number 12
_symmetry_space_group_name_Hall '-C 2y'
loop_
_atom_site_label
_atom_site_fract_x
_atom_site_fract_y
_atom_site_fract_z
Zn1 0.1998 0.0000 0.0942
Cd1 0.1309 0.5000 0.3928
As1 0.0995 0.0000 0.8026
```



# 3
A relaxed structure of Tm4Cu2Hg, computed with PBE.

Results
Relative energy among the computed polymorphs (meV per atom): 0.0
DFT formation energy (eV per atom): -0.19
Magnetization (Bohr magnetons per cell): 0.0

Geometry as CIF:
```
data_Tm4Cu2Hg
_cell_length_a 4.9341
_cell_length_b 4.9341
_cell_length_c 23.6834
_cell_angle_alpha 90.00
_cell_angle_beta 90.00
_cell_angle_gamma 120.00
_symmetry_space_group_name_H-M 'R -3 m'
_symmetry_Int_Tables_number 166
_symmetry_space_group_name_Hall '-R 3 2"'
loop_
_atom_site_label
_atom_site_fract_x
_atom_site_fract_y
_atom_site_fract_z
Tm1 0.0000 0.0000 0.1174
Tm2 0.0000 0.0000 0.3699
Cu1 0.0000 0.0000 0.2490
Hg1 0.0000 0.0000 0.5000
```



# 4
A relaxed structure of LaCe2HoS5, computed with PBE.

Results
Magnetization (Bohr magnetons per cell): 3.4
E_form (uncorrected) (meV/atom): -1562

Geometry as CIF:
```
data_LaCe2HoS5
_cell_length_a 4.8927
_cell_length_b 4.8927
_cell_length_c 10.6036
_cell_angle_alpha 90.00
_cell_angle_beta 90.00
_cell_angle_gamma 90.00
_symmetry_space_group_name_H-M 'P 4/m m m'
_symmetry_Int_Tables_number 123
_symmetry_space_group_name_Hall '-P 4 2'
loop_
_atom_site_label
_atom_site_fract_x
_atom_site_fract_y
_atom_site_fract_z
La1 0.0000 0.0000 0.0000
Ce1 0.5000 0.5000 0.3133
Ho1 0.0000 0.0000 0.5000
S1 0.0000 0.0000 0.2511
S2 0.0000 0.5000 0.5000
S3 0.5000 0.5000 0.0000
```



# 5
A relaxed structure of TlCdRu2, computed with PBE.

Results
DFT formation energy (eV per atom): 0.57
Magnetization (Bohr magnetons per cell): 1.5

Geometry as CIF:
```
data_TlCdRu2
_cell_length_a 4.6027
_cell_length_b 4.6027
_cell_length_c 3.2942
_cell_angle_alpha 90.00
_cell_angle_beta 90.00
_cell_angle_gamma 90.00
_symmetry_space_group_name_H-M 'P 4/m m m'
_symmetry_Int_Tables_number 123
_symmetry_space_group_name_Hall '-P 4 2'
loop_
_atom_site_label
_atom_site_fract_x
_atom_site_fract_y
_atom_site_fract_z
Tl1 0.0000 0.0000 0.0000
Cd1 0.5000 0.5000 0.0000
Ru1 0.0000 0.5000 0.5000
```



# 6
A relaxed structure of Tl6SeS3, computed with PBE.

Results
Magnetization (Bohr magnetons per cell): 0.0
E_form (uncorrected) (meV/atom): -259

Geometry as CIF:
```
data_Tl6SeS3
_cell_length_a 11.4373
_cell_length_b 4.3858
_cell_length_c 12.7304
_cell_angle_alpha 90.00
_cell_angle_beta 102.34
_cell_angle_gamma 90.00
_symmetry_space_group_name_H-M 'P 1 21/m 1'
_symmetry_Int_Tables_number 11
_symmetry_space_group_name_Hall '-P 2yb'
loop_
_atom_site_label
_atom_site_fract_x
_atom_site_fract_y
_atom_site_fract_z
Tl1 0.0031 0.2500 0.3748
Tl2 0.0993 0.2500 0.9380
Tl3 0.2424 0.7500 0.2655
Tl4 0.3001 0.7500 0.7440
Tl5 0.3679 0.2500 0.5323
Tl6 0.4239 0.7500 0.1003
Se1 0.4424 0.2500 0.3118
S1 0.0352 0.2500 0.1321
S2 0.1614 0.7500 0.4618
S3 0.3178 0.2500 0.9177
```



# 7
A relaxed structure of LiBi3N, computed with PBE.

Results
Relative energy among the computed polymorphs (meV per atom): 911.8
Magnetization (Bohr magnetons per cell): 0.0
E_form (uncorrected) (meV/atom): 1285

Geometry as CIF:
```
data_LiBi3N
_cell_length_a 5.0055
_cell_length_b 5.0055
_cell_length_c 5.0055
_cell_angle_alpha 90.00
_cell_angle_beta 90.00
_cell_angle_gamma 90.00
_symmetry_space_group_name_H-M 'P m -3 m'
_symmetry_Int_Tables_number 221
_symmetry_space_group_name_Hall '-P 4 2 3'
loop_
_atom_site_label
_atom_site_fract_x
_atom_site_fract_y
_atom_site_fract_z
Li1 0.0000 0.0000 0.0000
Bi1 0.0000 0.0000 0.5000
N1 0.5000 0.5000 0.5000
```



# 8
A relaxed structure of HfHg2Te, computed with PBE.

Results
Magnetization (Bohr magnetons per cell): 0.0
E_form (uncorrected) (meV/atom): 91

Geometry as CIF:
```
data_HfHg2Te
_cell_length_a 8.3813
_cell_length_b 8.3813
_cell_length_c 5.8428
_cell_angle_alpha 90.00
_cell_angle_beta 90.00
_cell_angle_gamma 90.00
_symmetry_space_group_name_H-M 'I -4 2 d'
_symmetry_Int_Tables_number 122
_symmetry_space_group_name_Hall 'I -4 2bw'
loop_
_atom_site_label
_atom_site_fract_x
_atom_site_fract_y
_atom_site_fract_z
Hf1 0.0000 0.0000 0.0000
Hg1 0.2276 0.2500 0.1250
Te1 0.0000 0.0000 0.5000
```



Repeat the fifth record exactly.
A relaxed structure of TlCdRu2, computed with PBE.

Results
DFT formation energy (eV per atom): 0.57
Magnetization (Bohr magnetons per cell): 1.5

Geometry as CIF:
```
data_TlCdRu2
_cell_length_a 4.6027
_cell_length_b 4.6027
_cell_length_c 3.2942
_cell_angle_alpha 90.00
_cell_angle_beta 90.00
_cell_angle_gamma 90.00
_symmetry_space_group_name_H-M 'P 4/m m m'
_symmetry_Int_Tables_number 123
_symmetry_space_group_name_Hall '-P 4 2'
loop_
_atom_site_label
_atom_site_fract_x
_atom_site_fract_y
_atom_site_fract_z
Tl1 0.0000 0.0000 0.0000
Cd1 0.5000 0.5000 0.0000
Ru1 0.0000 0.5000 0.5000
```